P.
Computed, not measured: a relaxed structure of RbLiAu3 at the PBE level of DFT.

abc: 6.1544 6.1544 6.1544
angles: 90.00 90.00 90.00
Atoms (fractional coordinates):
Li 0.5000 0.5000 0.5000
Au 0.0000 0.5000 0.0000
Au 0.0000 0.0000 0.5000
Au 0.5000 0.0000 0.0000
Rb 0.0000 0.0000 0.0000

Results
Symmetry = Pm-3m (221)
Crystal system = cubic

Q.
Computed, not measured: a relaxed structure of RbLiAu3 at the PBE level of DFT.

abc: 4.9703 4.9703 4.9703
angles: 90.00 90.00 90.00
Atoms (fractional coordinates):
Au 0.0000 0.5000 0.0000
Au 0.0000 0.0000 0.5000
Au 0.5000 0.0000 0.0000
Li 0.0000 0.0000 0.0000
Rb 0.5000 0.5000 0.5000

Results
Symmetry = Pm-3m (221)
Crystal system = cubic

It is P that is the least stable of them.

P.
Computed, not measured: a relaxed structure of RbLiTl2Au at the PBE level of DFT.

abc: 5.3680 5.3680 5.1670
angles: 90.00 90.00 90.00
Atoms (fractional coordinates):
Tl 0.0000 0.5000 0.0000
Tl 0.5000 0.0000 0.0000
Li 0.0000 0.0000 0.0000
Au 0.0000 0.0000 0.5000
Rb 0.5000 0.5000 0.5000

Results
Symmetry = P4/mmm (123)
Crystal system = tetragonal

Q.
Computed, not measured: a relaxed structure of RbLiTl2Au at the PBE level of DFT.

abc: 5.6483 5.6483 5.3087
angles: 90.00 90.00 90.00
Atoms (fractional coordinates):
Au 0.0000 0.0000 0.0000
Li 0.0000 0.0000 0.5000
Tl 0.5000 0.0000 0.0000
Tl 0.0000 0.5000 0.0000
Rb 0.5000 0.5000 0.5000

Results
Symmetry = P4/mmm (123)
Crystal system = tetragonal

It is P that is the least stable of them.